CdAgTe2: optimized geometry, PBE.

Results
D(E_F): 0.625 states/eV/atom
Space-group type: No. 166
Energy relative to the elements, uncorrected: -0.0030 eV/atom
Size of the total moment: 0.000 μB per formula unit

a b c (Å): 8.966 8.966 8.966
angles (deg): 27.49 27.49 27.49
Sites, in units of the cell vectors:
Cd  0.000  0.000  0.000
Ag  0.500  0.500  0.500
Te  0.398  0.398  0.398
Te  0.602  0.602  0.602